(1)
Computed, not measured: a relaxed structure of SnPdPt3 at the PBE-GGA level of DFT.

Cell: 5.2035 7.2113 5.4384 Å, 90.00 117.51 90.00°
Space group P2_1/m (No. 11)
One atom of each set of equivalent atoms:
1 Sn 0.1330 0.2500 0.3144 [2 per cell]
2 Pd 0.3310 0.7500 0.6079 [2 per cell]
3 Pt 0.2250 0.2500 0.8293 [2 per cell]
4 Pt 0.2969 0.5628 0.1274 [4 per cell]

The value obtained for the energy relative to the lowest polymorph listed for this composition is 162.9 meV/atom. The formation energy comes out at -0.117 eV per atom.

(2)
Computed, not measured: a relaxed structure of PrY2Er7 at the PBE-GGA level of DFT.

Cell: 6.1243 7.0817 7.9091 Å, 76.99 75.10 73.39°
Space group P-1 (No. 2)
One atom of each set of equivalent atoms:
1 Pr 0.0000 0.0000 0.0000 [1 per cell]
2 Y 0.2029 0.7984 0.5989 [2 per cell]
3 Er 0.0000 0.5000 0.0000 [1 per cell]
4 Er 0.1992 0.3013 0.5999 [2 per cell]
5 Er 0.3999 0.1007 0.1999 [2 per cell]
6 Er 0.3998 0.5990 0.1999 [2 per cell]

The value obtained for the energy relative to the lowest polymorph listed for this composition is 0.0 meV/atom. The formation energy comes out at 0.023 eV per atom.

(3)
Computed, not measured: a relaxed structure of Nd2CdCoC at the PBE-GGA level of DFT.

Cell: 5.3354 5.3354 3.6767 Å, 90.00 90.00 90.00°
Space group P4/mmm (No. 123)
One atom of each set of equivalent atoms:
1 Nd 0.0000 0.5000 0.0000 [2 per cell]
2 Cd 0.0000 0.0000 0.5000 [1 per cell]
3 Co 0.5000 0.5000 0.5000 [1 per cell]
4 C 0.5000 0.5000 0.0000 [1 per cell]

The formation energy comes out at -0.230 eV per atom.

(4)
Computed, not measured: a relaxed structure of PmScCo at the PBE-GGA level of DFT.

Cell: 6.5085 6.5085 6.5085 Å, 90.00 90.00 90.00°
Space group F-43m (No. 216)
One atom of each set of equivalent atoms:
1 Pm 0.0000 0.0000 0.0000 [4 per cell]
2 Sc 0.0000 0.0000 0.5000 [4 per cell]
3 Co 0.2500 0.2500 0.2500 [4 per cell]

The value obtained for the energy relative to the lowest polymorph listed for this composition is 154.3 meV/atom. The formation energy comes out at -0.004 eV per atom.

(5)
Computed, not measured: a relaxed structure of AuBrO2 at the PBE-GGA level of DFT.

Cell: 4.8440 21.4295 3.6202 Å, 90.00 94.79 90.00°
Space group C2/c (No. 15)
One atom of each set of equivalent atoms:
1 Au 0.2500 0.2500 0.0000 [4 per cell]
2 Br 0.0000 0.1546 0.7500 [4 per cell]
3 O 0.1278 0.4690 0.7643 [8 per cell]

As for the formation energy without anion corrections: -0.016 eV per atom.

(6)
Computed, not measured: a relaxed structure of HgBiH2 at the PBE-GGA level of DFT.

Cell: 6.2702 6.2702 6.2702 Å, 90.00 90.00 90.00°
Space group Fm-3m (No. 225)
One atom of each set of equivalent atoms:
1 Hg 0.0000 0.0000 0.0000 [4 per cell]
2 Bi 0.0000 0.0000 0.5000 [4 per cell]
3 H 0.2500 0.2500 0.2500 [8 per cell]

The value obtained for the energy relative to the lowest polymorph listed for this composition is 300.3 meV/atom.

(7)
Computed, not measured: a relaxed structure of Ta2CrGa at the PBE-GGA level of DFT.

Cell: 7.0922 7.0922 5.4254 Å, 90.00 90.00 90.00°
Space group I-42d (No. 122)
One atom of each set of equivalent atoms:
1 Ta 0.2212 0.2500 0.1250 [8 per cell]
2 Cr 0.0000 0.0000 0.0000 [4 per cell]
3 Ga 0.0000 0.0000 0.5000 [4 per cell]

The formation energy comes out at 0.574 eV per atom.

(8)
Computed, not measured: a relaxed structure of SmDyGaTc at the PBE-GGA level of DFT.

Cell: 7.0753 7.0753 7.0753 Å, 90.00 90.00 90.00°
Space group F-43m (No. 216)
One atom of each set of equivalent atoms:
1 Sm 0.0000 0.0000 0.0000 [4 per cell]
2 Dy 0.0000 0.0000 0.5000 [4 per cell]
3 Ga 0.2500 0.2500 0.2500 [4 per cell]
4 Tc 0.2500 0.2500 0.7500 [4 per cell]

The formation energy comes out at -0.181 eV per atom.

(9)
Computed, not measured: a relaxed structure of CsTh2Cu2S6 at the PBE-GGA level of DFT.

Cell: 7.4722 7.5832 7.7727 Å, 61.01 61.76 63.92°
Space group P-1 (No. 2)
One atom of each set of equivalent atoms:
1 Cs 0.0000 0.0000 0.0000 [1 per cell]
2 Th 0.3270 0.0194 0.3267 [2 per cell]
3 Cu 0.2830 0.5665 0.6971 [2 per cell]
4 S 0.0791 0.7462 0.4993 [2 per cell]
5 S 0.3572 0.2410 0.9069 [2 per cell]
6 S 0.4612 0.7607 0.6682 [2 per cell]

As for the formation energy without anion corrections: -1.227 eV per atom.

(10)
Computed, not measured: a relaxed structure of TeIr2Cl at the PBE-GGA level of DFT.

Cell: 2.9120 5.4054 9.9753 Å, 90.00 90.00 90.00°
Space group Cmm2 (No. 35)
One atom of each set of equivalent atoms:
1 Te 0.0000 0.0000 0.0000 [2 per cell]
2 Ir 0.0000 0.0000 0.4577 [2 per cell]
3 Ir 0.0000 0.5000 0.2383 [2 per cell]
4 Cl 0.0000 0.5000 0.6550 [2 per cell]

The value obtained for the energy relative to the lowest polymorph listed for this composition is 445.4 meV/atom. As for the formation energy without anion corrections: 0.546 eV per atom.

(11)
Computed, not measured: a relaxed structure of TcHgCl2 at the PBE-GGA level of DFT.

Cell: 3.0008 5.1887 12.9417 Å, 90.00 90.00 90.00°
Space group Immm (No. 71)
One atom of each set of equivalent atoms:
1 Tc 0.0000 0.0000 0.0000 [2 per cell]
2 Hg 0.0000 0.0000 0.5000 [2 per cell]
3 Cl 0.0000 0.5000 0.3525 [4 per cell]

The value obtained for the energy relative to the lowest polymorph listed for this composition is 29.0 meV/atom. As for the formation energy without anion corrections: -0.117 eV per atom.

(12)
Computed, not measured: a relaxed structure of NpTcOs2 at the PBE-GGA level of DFT.

Cell: 2.7505 2.7505 29.2094 Å, 90.00 90.00 120.00°
Space group R-3m (No. 166, hexagonal axes)
One atom of each set of equivalent atoms:
1 Np 0.0000 0.0000 0.0000 [3 per cell]
2 Tc 0.0000 0.0000 0.5000 [3 per cell]
3 Os 0.0000 0.0000 0.2413 [6 per cell]

The value obtained for the energy relative to the lowest polymorph listed for this composition is 150.4 meV/atom. The formation energy comes out at 0.212 eV per atom.

The records above give, respectively, calculated total energy values of -0.4102; -0.3632; -0.4106; -0.4459; -0.2744; -0.1440; -0.6258; -0.4306; -0.4152; -0.3772; -0.2725; -0.8254 Ry per atom.